! BaAcEuIn | the Alexandria database | PBE-GGA | relaxed; values from VASP
&SYSTEM
  ibrav = 0, nat = 16, ntyp = 4
/
ATOMIC_SPECIES
Ba 137.33 Ba.upf
Ac 227.00 Ac.upf
Eu 151.96 Eu.upf
In 114.82 In.upf
ATOMIC_POSITIONS crystal
Ba 0.0000 0.0000 0.0000
Ba 0.0000 0.5000 0.5000
Ba 0.5000 0.0000 0.5000
Ba 0.5000 0.5000 0.0000
Ac 0.2500 0.2500 0.7500
Ac 0.2500 0.7500 0.2500
Ac 0.7500 0.2500 0.2500
Ac 0.7500 0.7500 0.7500
Eu 0.0000 0.0000 0.5000
Eu 0.0000 0.5000 0.0000
Eu 0.5000 0.0000 0.0000
Eu 0.5000 0.5000 0.5000
In 0.2500 0.2500 0.2500
In 0.2500 0.7500 0.7500
In 0.7500 0.2500 0.7500
In 0.7500 0.7500 0.2500
CELL_PARAMETERS angstrom
8.6020 0.0000 0.0000
0.0000 8.6020 0.0000
0.0000 0.0000 8.6020
! * energy of formation from the pure elements: -1 kJ/mol of atoms
! * final energy: -0.351 Ry/atom
! * density: 6.59 Mg/m³
! * crystal system: cubic